[1]
8
Lattice="4.926 0.000 0.000 0.000 4.926 0.000 0.000 0.000 4.926" Properties=species:S:1:pos:R:3 comment="Ir3Ru | Alexandria | PBE | optimized geometry" magmom_total_mub_per_cell=0.00 n_ef_per_ev_cell=10.52 density_kg_m3=18826 crystal_system=cubic dft_energy_ev_per_atom=-8.5171 formation_enthalpy_0k_ev_per_atom=0.448 pbc="T T T"
Ir 0.000 1.232 2.463
Ir 0.000 3.695 2.463
Ir 1.232 2.463 0.000
Ir 2.463 0.000 1.232
Ir 2.463 0.000 3.695
Ir 3.695 2.463 0.000
Ru 0.000 0.000 0.000
Ru 2.463 2.463 2.463

---

[2]
8
Lattice="-2.660 2.660 9.035 2.660 -2.660 9.035 2.660 2.660 -9.035" Properties=species:S:1:pos:R:3 comment="KHf2S | Alexandria | PBE | optimized geometry" magmom_total_mub_per_cell=0.00 e_form_raw_kj_per_mol_atoms=41 n_ef_per_ev_cell=5.55 density_kg_m3=5561 crystal_system=tetragonal dft_energy_ev_per_atom=-5.8594 pbc="T T T"
K 2.660 1.330 2.259
K 0.000 1.330 6.777
Hf 0.000 0.000 0.000
Hf 1.330 1.330 -4.518
Hf 1.330 -1.330 4.518
Hf 0.000 2.660 0.000
S 2.660 -1.330 6.777
S 0.000 3.990 2.259